# AsIr2Rh (PBE-GGA, relaxed)
data_AsIr2Rh
_space_group_name_H-M_alt 'I m m 2'
_space_group_IT_number 44
_cell_length_a 2.884
_cell_length_b 4.490
_cell_length_c 9.135
_cell_angle_alpha 90.00
_cell_angle_beta 90.00
_cell_angle_gamma 90.00
loop_
_space_group_symop_operation_xyz
'x,y,z'
'-x,-y,z'
'-x,y,z'
'x,-y,z'
'x+1/2,y+1/2,z+1/2'
'-x+1/2,-y+1/2,z+1/2'
'-x+1/2,y+1/2,z+1/2'
'x+1/2,-y+1/2,z+1/2'
loop_
_atom_site_label
_atom_site_fract_x
_atom_site_fract_y
_atom_site_fract_z
As1 0.000 0.000 0.000
Ir1 0.000 0.000 0.497
Ir2 0.000 0.500 0.722
Rh1 0.000 0.500 0.278
# total energy: -7.275 eV per atom

# PuU3P (PBE-GGA, relaxed)
data_PuU3P
_space_group_name_H-M_alt 'C 1 2/c 1'
_space_group_IT_number 15
_cell_length_a 12.699
_cell_length_b 11.577
_cell_length_c 5.520
_cell_angle_alpha 90.00
_cell_angle_beta 92.46
_cell_angle_gamma 90.00
loop_
_space_group_symop_operation_xyz
'x,y,z'
'-x,-y,-z'
'-x,y,-z+1/2'
'x,-y,z+1/2'
'x+1/2,y+1/2,z'
'-x+1/2,-y+1/2,-z'
'-x+1/2,y+1/2,-z+1/2'
'x+1/2,-y+1/2,z+1/2'
loop_
_atom_site_label
_atom_site_fract_x
_atom_site_fract_y
_atom_site_fract_z
Pu1 0.000 0.076 0.250
Pu2 0.000 0.202 0.750
U1 0.088 0.377 0.455
U2 0.174 0.184 0.262
U3 0.218 0.072 0.652
P1 0.133 0.387 0.960
# total energy: -10.964 eV per atom

Going through the records in order, we get DFT formation energy values of 0.1554, -0.2425 eV per atom.
Going through the records in order, we get size of the total moment values of 0.00, 1.32 μB/f.u..